1.
This record from the Alexandria database describes a relaxed MnCrIr crystal. The functional is PBE.

Values from the calculation:
Crystal system: orthorhombic
ΔH_f (0 K), meV/atom: -53
V, A^3/atom: 12.7
D(E_F), states/eV per cell: 7.54
Total energy, eV/atom: -9.27

Cell and atoms, written as CIF:
```
data_MnCrIr
_chemical_formula_sum 'Mn2 Cr2 Ir2'
_symmetry_space_group_name_H-M 'I m m 2'
_symmetry_Int_Tables_number 44
_symmetry_space_group_name_Hall 'I 2 -2'
_cell_length_a 2.6399
_cell_length_b 3.6409
_cell_length_c 7.9376
_cell_angle_alpha 90.00
_cell_angle_beta 90.00
_cell_angle_gamma 90.00
loop_
_atom_site_label
_atom_site_fract_x
_atom_site_fract_y
_atom_site_fract_z
Mn1 0.0000 0.0000 0.0000
Cr1 0.0000 0.0000 0.6630
Ir1 0.0000 0.0000 0.3302
```

2.
This record from the Alexandria database describes a relaxed BeAgBr2 crystal. The functional is PBE.

Values from the calculation:
Crystal system: cubic
V, A^3/atom: 21.2
Formation energy from raw total energies, eV per atom: 0.41
D(E_F), states/eV per cell: 7.39
Total energy, eV/atom: -2.07

Cell and atoms, written as CIF:
```
data_BeAgBr2
_chemical_formula_sum 'Be4 Ag4 Br8'
_symmetry_space_group_name_H-M 'F m -3 m'
_symmetry_Int_Tables_number 225
_symmetry_space_group_name_Hall '-F 4 2 3'
_cell_length_a 6.9792
_cell_length_b 6.9792
_cell_length_c 6.9792
_cell_angle_alpha 90.00
_cell_angle_beta 90.00
_cell_angle_gamma 90.00
loop_
_atom_site_label
_atom_site_fract_x
_atom_site_fract_y
_atom_site_fract_z
Be1 0.0000 0.0000 0.0000
Ag1 0.0000 0.0000 0.5000
Br1 0.2500 0.2500 0.2500
```

3.
This record from the Alexandria database describes a relaxed VCoRuRh crystal. The functional is PBE.

Values from the calculation:
Crystal system: cubic
ΔH_f (0 K), meV/atom: -48
V, A^3/atom: 13.3
D(E_F), states/eV per cell: 31.12
Total energy, eV/atom: -8.26

Cell and atoms, written as CIF:
```
data_VCoRuRh
_chemical_formula_sum 'V4 Co4 Ru4 Rh4'
_symmetry_space_group_name_H-M 'F -4 3 m'
_symmetry_Int_Tables_number 216
_symmetry_space_group_name_Hall 'F -4 2 3'
_cell_length_a 5.9693
_cell_length_b 5.9693
_cell_length_c 5.9693
_cell_angle_alpha 90.00
_cell_angle_beta 90.00
_cell_angle_gamma 90.00
loop_
_atom_site_label
_atom_site_fract_x
_atom_site_fract_y
_atom_site_fract_z
V1 0.0000 0.0000 0.0000
Co1 0.0000 0.0000 0.5000
Ru1 0.2500 0.2500 0.2500
Rh1 0.2500 0.2500 0.7500
```

4.
This record from the Alexandria database describes a relaxed BaOsW2 crystal. The functional is PBE.

Values from the calculation:
Crystal system: tetragonal
ΔH_f (0 K), meV/atom: 1824
V, A^3/atom: 20.0
D(E_F), states/eV per cell: 4.48
Total energy, eV/atom: -7.94

Cell and atoms, written as CIF:
```
data_BaOsW2
_chemical_formula_sum 'Ba1 Os1 W2'
_symmetry_space_group_name_H-M 'P 4/m m m'
_symmetry_Int_Tables_number 123
_symmetry_space_group_name_Hall '-P 4 2'
_cell_length_a 3.9325
_cell_length_b 3.9325
_cell_length_c 5.1693
_cell_angle_alpha 90.00
_cell_angle_beta 90.00
_cell_angle_gamma 90.00
loop_
_atom_site_label
_atom_site_fract_x
_atom_site_fract_y
_atom_site_fract_z
Ba1 0.0000 0.0000 0.0000
Os1 0.5000 0.5000 0.0000
W1 0.0000 0.5000 0.5000
```

5.
This record from the Alexandria database describes a relaxed TiPd5Pt6 crystal. The functional is PBE.

Values from the calculation:
Crystal system: orthorhombic
ΔH_f (0 K), meV/atom: -325
V, A^3/atom: 15.4
D(E_F), states/eV per cell: 35.58
Total energy, eV/atom: -6.17

Cell and atoms, written as CIF:
```
data_TiPd5Pt6
_chemical_formula_sum 'Ti2 Pd10 Pt12'
_symmetry_space_group_name_H-M 'I m m m'
_symmetry_Int_Tables_number 71
_symmetry_space_group_name_Hall '-I 2 2'
_cell_length_a 3.9271
_cell_length_b 7.9638
_cell_length_c 11.8288
_cell_angle_alpha 90.00
_cell_angle_beta 90.00
_cell_angle_gamma 90.00
loop_
_atom_site_label
_atom_site_fract_x
_atom_site_fract_y
_atom_site_fract_z
Ti1 0.0000 0.0000 0.0000
Pd1 0.0000 0.0000 0.3359
Pd2 0.0000 0.5000 0.0000
Pd3 0.0000 0.5000 0.3351
Pt1 0.0000 0.2456 0.1650
Pt2 0.0000 0.2589 0.5000
```

6.
This record from the Alexandria database describes a relaxed CdSi2SnPt crystal. The functional is PBE.

Values from the calculation:
Crystal system: tetragonal
V, A^3/atom: 24.6
Formation energy from raw total energies, eV per atom: 1.02
D(E_F), states/eV per cell: 3.00
Total energy, eV/atom: -3.35

Cell and atoms, written as CIF:
```
data_CdSi2SnPt
_chemical_formula_sum 'Cd1 Si2 Sn1 Pt1'
_symmetry_space_group_name_H-M 'P 4/m m m'
_symmetry_Int_Tables_number 123
_symmetry_space_group_name_Hall '-P 4 2'
_cell_length_a 4.9048
_cell_length_b 4.9048
_cell_length_c 5.1174
_cell_angle_alpha 90.00
_cell_angle_beta 90.00
_cell_angle_gamma 90.00
loop_
_atom_site_label
_atom_site_fract_x
_atom_site_fract_y
_atom_site_fract_z
Cd1 0.0000 0.0000 0.0000
Si1 0.0000 0.5000 0.0000
Sn1 0.5000 0.5000 0.5000
Pt1 0.0000 0.0000 0.5000
```

7.
This record from the Alexandria database describes a relaxed Mg2Zn8Pd3 crystal. The functional is PBE.

Values from the calculation:
Crystal system: trigonal
ΔH_f (0 K), meV/atom: -216
V, A^3/atom: 16.3
D(E_F), states/eV per cell: 9.13
Total energy, eV/atom: -2.44

Cell and atoms, written as CIF:
```
data_Mg2Zn8Pd3
_chemical_formula_sum 'Mg6 Zn24 Pd9'
_symmetry_space_group_name_H-M 'R -3 m'
_symmetry_Int_Tables_number 166
_symmetry_space_group_name_Hall '-R 3 2"'
_cell_length_a 4.9859
_cell_length_b 4.9859
_cell_length_c 29.5743
_cell_angle_alpha 90.00
_cell_angle_beta 90.00
_cell_angle_gamma 120.00
loop_
_atom_site_label
_atom_site_fract_x
_atom_site_fract_y
_atom_site_fract_z
Mg1 0.0000 0.0000 0.1406
Zn1 0.0000 0.0000 0.2283
Zn2 0.0008 0.5004 0.7231
Pd1 0.0000 0.0000 0.3151
Pd2 0.0000 0.0000 0.5000
```

8.
This record from the Alexandria database describes a relaxed Ac2Si2Rh crystal. The functional is PBE.

Values from the calculation:
Crystal system: monoclinic
V, A^3/atom: 25.4
Formation energy from raw total energies, eV per atom: -0.75
D(E_F), states/eV per cell: 13.17
Total energy, eV/atom: -6.04

Cell and atoms, written as CIF:
```
data_Ac2Si2Rh
_chemical_formula_sum 'Ac8 Si8 Rh4'
_symmetry_space_group_name_H-M 'C 1 2/m 1'
_symmetry_Int_Tables_number 12
_symmetry_space_group_name_Hall '-C 2y'
_cell_length_a 11.5849
_cell_length_b 4.3491
_cell_length_c 11.2750
_cell_angle_alpha 90.00
_cell_angle_beta 116.71
_cell_angle_gamma 90.00
loop_
_atom_site_label
_atom_site_fract_x
_atom_site_fract_y
_atom_site_fract_z
Ac1 0.1077 0.0000 0.3963
Ac2 0.2142 0.5000 0.1436
Si1 0.0354 0.0000 0.9149
Si2 0.0991 0.5000 0.6111
Rh1 0.0502 0.5000 0.8098
```

Question: Which value of D(E_F) does entry 2 give?
Answer: 7.39 states/eV per cell

Question: Number 4 is which compound?
Answer: BaOsW2

Question: The highest D(E_F) belongs to which entry?
Answer: TiPd5Pt6

Question: Among the records above, which one has the highest D(E_F)?
Answer: TiPd5Pt6